Density functional theory data (GGA-PBE) for crystalline RbBi5Au3 at its relaxed geometry.

Lattice parameters (Å, degrees): 5.999 5.999 8.684 90.00 90.00 120.00
Atoms (fractional coordinates):
Rb1 0.000 0.000 0.000
Bi1 0.000 0.000 0.500
Bi2 0.333 0.667 0.207
Bi3 0.333 0.667 0.793
Bi4 0.667 0.333 0.207
Bi5 0.667 0.333 0.793
Au1 0.000 0.500 0.500
Au2 0.500 0.000 0.500
Au3 0.500 0.500 0.500

crystal system: hexagonal
SG: P6/mmm (191)



Density functional theory data (GGA-PBE) for crystalline RbTlBiAu at its relaxed geometry.

Lattice parameters (Å, degrees): 6.732 6.724 6.724 111.23 90.00 90.00
Atoms (fractional coordinates):
Rb1 0.000 0.177 0.823
Rb2 0.000 0.823 0.177
Tl1 0.500 0.220 0.541
Tl2 0.500 0.541 0.220
Bi1 0.000 0.404 0.404
Bi2 0.500 0.984 0.984
Au1 0.275 0.673 0.673
Au2 0.725 0.673 0.673

crystal system: orthorhombic
SG: Amm2 (38)



Density functional theory data (GGA-PBE) for crystalline Re3Bi5Au at its relaxed geometry.

Lattice parameters (Å, degrees): 5.599 5.599 8.461 90.00 90.00 120.00
Atoms (fractional coordinates):
Re1 0.000 0.500 0.000
Re2 0.500 0.000 0.000
Re3 0.500 0.500 0.000
Bi1 0.000 0.000 0.000
Bi2 0.333 0.667 0.291
Bi3 0.333 0.667 0.709
Bi4 0.667 0.333 0.291
Bi5 0.667 0.333 0.709
Au1 0.000 0.000 0.500

crystal system: hexagonal
spin magnetization: 0.4 μB per formula unit
SG: P6/mmm (191)



Density functional theory data (GGA-PBE) for crystalline ReBiSbAu at its relaxed geometry.

Lattice parameters (Å, degrees): 4.938 4.938 4.938 60.00 60.00 60.00
Atoms (fractional coordinates):
Re1 0.000 0.000 0.000
Bi1 0.750 0.750 0.750
Sb1 0.250 0.250 0.250
Au1 0.500 0.500 0.500

crystal system: cubic
spin magnetization: 1.2 μB per formula unit
offset from the most stable computed form: 0.000 eV/atom
SG: F-43m (216)



Density functional theory data (GGA-PBE) for crystalline BiSb2Au2 at its relaxed geometry.

Lattice parameters (Å, degrees): 7.245 7.245 7.245 144.41 144.41 51.21
Atoms (fractional coordinates):
Bi1 0.000 0.000 0.000
Sb1 0.384 0.384 0.000
Sb2 0.616 0.616 0.000
Au1 0.250 0.750 0.500
Au2 0.750 0.250 0.500

crystal system: tetragonal
SG: I4/mmm (139)



Density functional theory data (GGA-PBE) for crystalline BiSbAu2 at its relaxed geometry.

Lattice parameters (Å, degrees): 5.120 5.120 5.120 60.00 60.00 60.00
Atoms (fractional coordinates):
Bi1 0.000 0.000 0.000
Sb1 0.250 0.250 0.250
Au1 0.500 0.500 0.500
Au2 0.750 0.750 0.750

crystal system: cubic
SG: F-43m (216)



Density functional theory data (GGA-PBE) for crystalline SrBiSbAu2 at its relaxed geometry.

Lattice parameters (Å, degrees): 4.930 4.728 11.799 90.00 90.97 90.00
Atoms (fractional coordinates):
Sr1 0.218 0.250 0.231
Sr2 0.782 0.750 0.769
Bi1 0.255 0.750 0.498
Bi2 0.745 0.250 0.502
Sb1 0.321 0.250 0.879
Sb2 0.679 0.750 0.121
Au1 0.181 0.750 0.999
Au2 0.240 0.250 0.655
Au3 0.760 0.750 0.345
Au4 0.819 0.250 0.001

crystal system: monoclinic
SG: P2_1/m (11)



Density functional theory data (GGA-PBE) for crystalline TcBiSbAu at its relaxed geometry.

Lattice parameters (Å, degrees): 4.959 4.959 4.959 60.00 60.00 60.00
Atoms (fractional coordinates):
Tc1 0.000 0.000 0.000
Bi1 0.750 0.750 0.750
Sb1 0.250 0.250 0.250
Au1 0.500 0.500 0.500

crystal system: cubic
spin magnetization: 1.8 μB per formula unit
offset from the most stable computed form: 0.000 eV/atom
SG: F-43m (216)



It is found that the energy values, taken in the order of the records, are -3.440, -2.870, -6.120, -5.177, -3.599, -3.491, -3.812, -4.947 eV per atom.
It is found that the calculated volume values, taken in the order of the records, are 30.07, 35.47, 25.52, 21.29, 25.62, 23.73, 27.49, 21.56 A^3/atom.